Crystalline KYOs2 at its relaxed geometry, computed with GGA-PBEsol. Values from VASP.

```
&SYSTEM
  ibrav = 0, nat = 4, ntyp = 3
/
ATOMIC_SPECIES
K 39.10 K.upf
Y 88.91 Y.upf
Os 190.23 Os.upf
CELL_PARAMETERS angstrom
2.839 0.000 0.000
0.000 2.839 0.000
0.000 0.000 9.801
ATOMIC_POSITIONS angstrom
K 0.000 0.000 0.000
Y 0.000 0.000 4.900
Os 1.420 1.420 2.725
Os 1.420 1.420 7.075
```

## Properties
For the electronic total energy, the calculation gives -28.29 eV per formula unit. As for the calculated formation energy: 1.02 eV/atom. The space group is No. 123. Its energy above the lowest structure with this stoichiometry is 281 meV/atom. The density of states at the Fermi level is 1.317 states/eV/atom. For the total moment, the calculation gives 0.0 μB/cell.

Crystalline KYOs2 at its relaxed geometry, computed with GGA-PBEsol. Values from VASP.

```
&SYSTEM
  ibrav = 0, nat = 8, ntyp = 3
/
ATOMIC_SPECIES
K 39.10 K.upf
Y 88.91 Y.upf
Os 190.23 Os.upf
CELL_PARAMETERS angstrom
4.040 0.000 0.000
0.000 4.676 0.000
0.000 0.000 11.888
ATOMIC_POSITIONS angstrom
K 0.000 0.000 0.000
K 2.020 2.338 5.944
Y 0.000 2.338 2.783
Y 2.020 0.000 8.727
Os 0.000 0.000 4.322
Os 0.000 2.338 9.128
Os 2.020 0.000 3.184
Os 2.020 2.338 10.266
```

## Properties
For the electronic total energy, the calculation gives -29.41 eV per formula unit. As for the calculated formation energy: 0.74 eV/atom. The space group is No. 44. Its energy above the lowest structure with this stoichiometry is 0 meV/atom. The density of states at the Fermi level is 0.657 states/eV/atom. For the total moment, the calculation gives 0.0 μB/cell.

Crystalline KYOs2 at its relaxed geometry, computed with GGA-PBEsol. Values from VASP.

```
&SYSTEM
  ibrav = 0, nat = 8, ntyp = 3
/
ATOMIC_SPECIES
K 39.10 K.upf
Y 88.91 Y.upf
Os 190.23 Os.upf
CELL_PARAMETERS angstrom
3.131 0.000 0.000
0.000 4.747 0.000
0.000 0.000 10.121
ATOMIC_POSITIONS angstrom
K 0.000 0.000 0.000
K 1.566 2.373 0.000
Y 0.000 0.000 5.060
Y 1.566 2.373 5.060
Os 0.000 2.373 2.785
Os 0.000 2.373 7.336
Os 1.566 0.000 2.785
Os 1.566 0.000 7.336
```

## Properties
For the electronic total energy, the calculation gives -28.91 eV per formula unit. As for the calculated formation energy: 0.87 eV/atom. The space group is No. 65. Its energy above the lowest structure with this stoichiometry is 127 meV/atom. The density of states at the Fermi level is 0.730 states/eV/atom. For the total moment, the calculation gives 0.0 μB/cell.